Model i:
Compound: ScReBi2
Source: Alexandria via LeMat-Bulk
Functional: GGA-PBE
Structure: relaxed

```
ScReBi2
1.0
0.0000 3.5108 3.5108
3.5108 0.0000 3.5108
3.5108 3.5108 0.0000
Bi Sc Re
2 1 1
direct
0.7500 0.7500 0.7500
0.2500 0.2500 0.2500
0.0000 0.0000 0.0000
0.5000 0.5000 0.5000
```

Summary:
Total magnetic moment ... 0.000 μB/f.u.

Model ii:
Compound: ScReBi2
Source: Alexandria via LeMat-Bulk
Functional: GGA-PBE
Structure: relaxed

```
ScReBi2
1.0
-0.9533 3.8543 -1.9456
1.7260 -1.4861 -3.7898
-8.6499 -2.4157 -5.5716
Sc Re Bi
2 2 4
direct
0.5000 0.5000 0.0000
0.2500 0.7500 0.5000
0.0000 0.0000 0.0000
0.7500 0.2500 0.5000
0.3750 0.3653 0.7500
0.6347 0.1250 0.2500
0.8750 0.8847 0.7500
0.1153 0.6250 0.2500
```

Summary:
Total magnetic moment ... 0.201 μB/f.u.

Order of stability, best first: model i, model ii

Model i:
Compound: ScRe3Bi
Source: Alexandria via LeMat-Bulk
Functional: GGA-PBE
Structure: relaxed

```
ScRe3Bi
1.0
-1.7906 3.7220 2.7367
1.3582 -2.3812 4.1273
4.4157 2.2417 -0.1598
Sc Re Bi
1 3 1
direct
0.5000 0.5000 0.5000
0.5000 0.0000 0.0000
0.0000 0.0000 0.5000
0.0000 0.5000 0.0000
0.0000 0.0000 0.0000
```

Summary:
Total magnetic moment ... 2.207 μB/f.u.

Model ii:
Compound: ScRe3Bi
Source: Alexandria via LeMat-Bulk
Functional: GGA-PBE
Structure: relaxed

```
ScRe3Bi
1.0
-3.0756 -2.0708 -2.9616
3.6111 -1.6138 -2.6218
0.1369 -3.9529 2.6218
Re Sc Bi
3 1 1
direct
0.5000 0.0000 0.0000
0.0000 0.0000 0.5000
0.0000 0.5000 0.0000
0.0000 0.0000 0.0000
0.5000 0.5000 0.5000
```

Summary:
Total magnetic moment ... 2.643 μB/f.u.

Order of stability, best first: model ii, model i

Model i:
Compound: Re3BiSe
Source: Alexandria via LeMat-Bulk
Functional: GGA-PBE
Structure: relaxed

```
Re3BiSe
1.0
5.0130 0.0000 0.0000
0.0000 5.0130 0.0000
0.0000 0.0000 5.0130
Bi Se Re
1 1 3
direct
0.0000 0.0000 0.0000
0.5000 0.5000 0.5000
0.0000 0.5000 0.0000
0.5000 0.0000 0.0000
0.0000 0.0000 0.5000
```

Summary:
Total magnetic moment ... 2.579 μB/f.u.

Model ii:
Compound: Re3BiSe
Source: Alexandria via LeMat-Bulk
Functional: GGA-PBE
Structure: relaxed

```
Re3BiSe
1.0
4.6516 0.0000 0.0000
0.0000 4.6516 0.0000
0.0000 0.0000 4.6516
Re Se Bi
3 1 1
direct
0.0000 0.5000 0.0000
0.0000 0.0000 0.5000
0.5000 0.0000 0.0000
0.0000 0.0000 0.0000
0.5000 0.5000 0.5000
```

Summary:
Total magnetic moment ... 1.491 μB/f.u.

Order of stability, best first: model ii, model i

Model i:
Compound: Re2Bi2Se
Source: Alexandria via LeMat-Bulk
Functional: GGA-PBE
Structure: relaxed

```
Re2Bi2Se
1.0
-8.0840 -0.3527 -2.0152
-1.4939 -4.5943 6.7968
-0.5214 2.5927 1.6380
Bi Re Se
4 4 2
direct
0.3487 0.8487 0.0000
0.8487 0.6513 0.0000
0.6513 0.1513 0.0000
0.1513 0.3487 0.0000
0.8586 0.3586 0.5000
0.3586 0.1414 0.5000
0.1414 0.6414 0.5000
0.6414 0.8586 0.5000
0.5000 0.5000 0.0000
0.0000 0.0000 0.0000
```

Summary:
Total magnetic moment ... 0.000 μB/f.u.

Model ii:
Compound: Re2Bi2Se
Source: Alexandria via LeMat-Bulk
Functional: GGA-PBE
Structure: relaxed

```
Re2Bi2Se
1.0
-0.2552 -0.0473 -3.6368
-1.8637 -3.1291 0.1714
-8.5518 2.8998 -1.2653
Se Re Bi
1 2 2
direct
0.0000 0.0000 0.0000
0.7500 0.2500 0.5000
0.2500 0.7500 0.5000
0.6122 0.6122 0.7756
0.3878 0.3878 0.2244
```

Summary:
Total magnetic moment ... 0.000 μB/f.u.

Order of stability, best first: model ii, model i

Model i:
Compound: Re2BiSe
Source: Alexandria via LeMat-Bulk
Functional: GGA-PBE
Structure: relaxed

```
Re2BiSe
1.0
0.0000 3.2784 3.2784
3.2784 0.0000 3.2784
3.2784 3.2784 0.0000
Se Re Bi
1 2 1
direct
0.0000 0.0000 0.0000
0.7500 0.7500 0.7500
0.2500 0.2500 0.2500
0.5000 0.5000 0.5000
```

Summary:
Total magnetic moment ... 0.000 μB/f.u.

Model ii:
Compound: Re2BiSe
Source: Alexandria via LeMat-Bulk
Functional: GGA-PBE
Structure: relaxed

```
Re2BiSe
1.0
-2.2952 2.2105 5.0577
-3.1641 -5.0152 0.7560
1.5153 -3.6425 5.8124
Bi Re Se
2 4 2
direct
0.0000 0.0000 0.0000
0.7500 0.2500 0.5000
0.8750 0.8287 0.7500
0.5787 0.1250 0.2500
0.1713 0.6250 0.2500
0.3750 0.4213 0.7500
0.2500 0.7500 0.5000
0.5000 0.5000 0.0000
```

Summary:
Total magnetic moment ... 0.803 μB/f.u.

Order of stability, best first: model i, model ii

Model i:
Compound: ReBi3Se
Source: Alexandria via LeMat-Bulk
Functional: GGA-PBE
Structure: relaxed

```
ReBi3Se
1.0
-3.5699 1.7612 -3.7434
1.5974 -3.9742 -3.3931
-3.8162 -3.3111 2.0815
Bi Se Re
3 1 1
direct
0.5000 0.0000 0.0000
0.0000 0.0000 0.5000
0.0000 0.5000 0.0000
0.0000 0.0000 0.0000
0.5000 0.5000 0.5000
```

Summary:
Total magnetic moment ... 3.187 μB/f.u.

Model ii:
Compound: ReBi3Se
Source: Alexandria via LeMat-Bulk
Functional: GGA-PBE
Structure: relaxed

```
ReBi3Se
1.0
5.3109 0.0000 0.0000
0.0000 5.3109 0.0000
0.0000 0.0000 5.3109
Re Bi Se
1 3 1
direct
0.0000 0.0000 0.0000
0.5000 0.0000 0.0000
0.0000 0.5000 0.0000
0.0000 0.0000 0.5000
0.5000 0.5000 0.5000
```

Summary:
Total magnetic moment ... 0.000 μB/f.u.

Order of stability, best first: model ii, model i